1.
An optimized crystal structure of CaEuTlSn, computed with PBE-GGA.

abc: 5.5410 5.5410 5.5410
angles: 60.00 60.00 60.00
Closest atoms and distances in Å follow each position.
Sites, in units of the cell vectors:
Eu: 0.0000 0.0000 0.0000  4 Tl 3.39, 4 Sn 3.39
Sn: 0.2500 0.2500 0.2500  4 Ca 3.39, 4 Eu 3.39
Ca: 0.5000 0.5000 0.5000  4 Sn 3.39, 4 Tl 3.39
Tl: 0.7500 0.7500 0.7500  4 Ca 3.39, 4 Eu 3.39

Energy, eV per cell: -20.8
DFT formation energy, eV/atom: -0.545
Volume, Å³/f.u.: 120.3


2.
An optimized crystal structure of SrCaEu4, computed with PBE-GGA.

abc: 7.3167 7.3167 7.3167
angles: 60.00 60.00 60.00
Closest atoms and distances in Å follow each position.
Sites, in units of the cell vectors:
Eu: 0.6254 0.1238 0.6254  6 Eu 3.65-3.67
Eu: 0.1238 0.6254 0.6254  6 Eu 3.65-3.67
Eu: 0.6254 0.6254 0.6254  6 Eu 3.65-3.67
Eu: 0.6254 0.6254 0.1238  6 Eu 3.65-3.67
Ca: 0.0000 0.0000 0.0000  12 Eu 4.29, 4 Sr 4.48
Sr: 0.2500 0.2500 0.2500  12 Eu 4.29, 4 Ca 4.48

Energy, eV per cell: -44.3
DFT formation energy, eV/atom: 0.083
Volume, Å³/f.u.: 277.0


Which of these has the highest volume? SrCaEu4


What is the formula in the first record? CaEuTlSn


What is the formula in the second record? SrCaEu4


Please write out number 1 again, unchanged.
An optimized crystal structure of CaEuTlSn, computed with PBE-GGA.

abc: 5.5410 5.5410 5.5410
angles: 60.00 60.00 60.00
Closest atoms and distances in Å follow each position.
Sites, in units of the cell vectors:
Eu: 0.0000 0.0000 0.0000  4 Tl 3.39, 4 Sn 3.39
Sn: 0.2500 0.2500 0.2500  4 Ca 3.39, 4 Eu 3.39
Ca: 0.5000 0.5000 0.5000  4 Sn 3.39, 4 Tl 3.39
Tl: 0.7500 0.7500 0.7500  4 Ca 3.39, 4 Eu 3.39

Energy, eV per cell: -20.8
DFT formation energy, eV/atom: -0.545
Volume, Å³/f.u.: 120.3